The following is a PBE-GGA calculation of a relaxed structure of TlCdSeI2, from Alexandria via LeMat-Bulk.

Cell: 6.1261 6.1261 5.3843 Å, 90.00 90.00 90.00°
Space group P4/mmm (No. 123)
Symmetry-distinct sites (fractional):
Tl 0.0000 0.0000 0.0000 x1
Cd 0.5000 0.5000 0.5000 x1
Se 0.0000 0.0000 0.5000 x1
I 0.0000 0.5000 0.0000 x2

Formation energy without anion corrections (eV/atom): 0.188


The following is a PBE-GGA calculation of a relaxed structure of Cd2SiI, from Alexandria via LeMat-Bulk.

Cell: 6.6468 6.6468 12.6313 Å, 90.00 90.00 90.00°
Space group I-42d (No. 122)
Symmetry-distinct sites (fractional):
Cd 0.1795 0.2500 0.1250 x8
Si 0.0000 0.0000 0.0000 x4
I 0.0000 0.0000 0.5000 x4

Formation energy without anion corrections (eV/atom): 0.132
Relative energy among the computed polymorphs (meV/atom): 0